# 1
The following is a DFT calculation (PBE) of an optimized crystal structure of KRbAs.

abc: 5.392 9.121 14.910
angles: 90.00 90.00 90.00
Atoms (fractional coordinates):
K1 0.500 0.577 0.870
K2 0.500 0.423 0.370
K3 0.500 0.794 0.250
K4 0.500 0.577 0.630
K5 0.500 0.423 0.130
K6 0.500 0.206 0.750
Rb1 0.000 0.795 0.051
Rb2 0.000 0.205 0.551
Rb3 0.000 0.795 0.449
Rb4 0.000 0.857 0.750
Rb5 0.000 0.205 0.949
Rb6 0.000 0.143 0.250
As1 0.000 0.453 0.750
As2 0.500 0.056 0.425
As3 0.000 0.547 0.250
As4 0.500 0.944 0.575
As5 0.500 0.944 0.925
As6 0.500 0.056 0.075

## Properties
E (eV/atom): -2.56
SG: No. 51
Magnetization (μB per atom): 0.120

# 2
The following is a DFT calculation (PBE) of an optimized crystal structure of KRbAsS2.

abc: 5.387 7.875 8.767
angles: 103.06 90.00 90.00
Atoms (fractional coordinates):
As1 0.000 0.000 0.000
As2 0.000 0.000 0.500
Rb1 0.770 0.500 0.250
Rb2 0.230 0.500 0.750
S1 0.256 0.251 0.045
S2 0.744 0.749 0.955
S3 0.744 0.251 0.545
S4 0.256 0.749 0.455
K1 0.513 0.000 0.750
K2 0.487 0.000 0.250

## Properties
ΔE_f (raw) (kJ/mol of formula units): -203
SG: No. 13
Magnetization (μB per atom): 0.199

# 3
The following is a DFT calculation (PBE) of an optimized crystal structure of KRb2AsS4.

abc: 7.138 7.138 7.138
angles: 107.64 110.39 110.39
Atoms (fractional coordinates):
K1 0.500 0.250 0.750
S1 0.314 0.812 0.797
S2 0.686 0.482 0.498
S3 0.015 0.203 0.518
S4 0.985 0.502 0.188
Rb1 0.500 0.750 0.250
Rb2 0.000 0.000 0.000
As1 0.000 0.500 0.500

## Properties
ΔE_f (raw) (kJ/mol of formula units): -636
SG: No. 82
Magnetization (μB per atom): 0.000

# 4
The following is a DFT calculation (PBE) of an optimized crystal structure of KRbAsS2.

abc: 5.923 6.269 5.923
angles: 90.00 90.00 90.00
Atoms (fractional coordinates):
As1 0.000 0.500 0.000
Rb1 0.500 0.500 0.500
K1 0.000 0.000 0.000
S1 0.000 0.000 0.500
S2 0.500 0.000 0.000

## Properties
ΔE_f (raw) (kJ/mol of formula units): 225
SG: No. 123
Magnetization (μB per atom): 1.000

# 5
The following is a DFT calculation (PBE) of an optimized crystal structure of K2RbAsS.

abc: 6.761 5.419 6.761
angles: 90.00 90.00 90.00
Atoms (fractional coordinates):
As1 0.000 0.500 0.000
S1 0.500 0.500 0.500
K1 0.500 0.000 0.000
K2 0.000 0.000 0.500
Rb1 0.000 0.000 0.000

## Properties
ΔE_f (raw) (kJ/mol of formula units): 235
SG: No. 123
Magnetization (μB per atom): 0.230

# 6
The following is a DFT calculation (PBE) of an optimized crystal structure of KRbSc2As.

abc: 5.309 6.724 5.309
angles: 90.00 90.00 90.00
Atoms (fractional coordinates):
Sc1 0.500 0.000 0.000
Sc2 0.000 0.000 0.500
As1 0.000 0.000 0.000
Rb1 0.500 0.500 0.500
K1 0.000 0.500 0.000

## Properties
E (eV/atom): -3.87
SG: No. 123
Magnetization (μB per atom): 0.437

# 7
The following is a DFT calculation (PBE) of an optimized crystal structure of KRb2AsSe4.

abc: 7.255 7.901 13.698
angles: 83.02 74.64 62.67
Atoms (fractional coordinates):
As1 0.250 0.500 0.500
As2 0.500 0.000 0.000
Se1 0.923 0.707 0.606
Se2 0.279 0.207 0.894
Se3 0.827 0.793 0.894
Se4 0.371 0.707 0.394
Se5 0.236 0.293 0.394
Se6 0.471 0.293 0.606
Se7 0.514 0.207 0.106
Se8 0.379 0.793 0.106
K1 0.750 0.500 0.500
K2 0.000 0.000 0.000
Rb1 0.557 0.500 0.886
Rb2 0.943 0.500 0.114
Rb3 0.807 0.000 0.386
Rb4 0.193 0.000 0.614

## Properties
ΔE_f (raw) (kJ/mol of formula units): -532
SG: No. 70
Magnetization (μB per atom): 0.000

# 8
The following is a DFT calculation (PBE) of an optimized crystal structure of KRbAsSe3.

abc: 7.385 7.385 9.137
angles: 96.93 96.93 71.77
Atoms (fractional coordinates):
Se1 0.356 0.909 0.205
Se2 0.644 0.091 0.795
Se3 0.143 0.143 0.753
Se4 0.909 0.356 0.205
Se5 0.091 0.644 0.795
Se6 0.857 0.857 0.247
K1 0.225 0.775 0.500
K2 0.775 0.225 0.500
As1 0.975 0.975 0.856
As2 0.025 0.025 0.144
Rb1 0.653 0.653 0.922
Rb2 0.347 0.347 0.078

## Properties
ΔE_f (raw) (kJ/mol of formula units): -398
SG: No. 12
Magnetization (μB per atom): 0.000

> magnetization of number 3 (KRb2AsS4)?

0.000 μB per atom

> Look up the magnetization of the fourth one.

1.000 μB per atom

> What is the formula in the eighth record?

KRbAsSe3